NiRhW | Alexandria via LeMat-Bulk | GGA-PBEsol | optimized geometry; crystal system = orthorhombic
1.0
2.699 0.000 0.000
0.000 3.677 0.000
0.000 0.000 7.949
Ni Rh W
2 2 2
Direct
0.000 0.000 0.000
0.500 0.500 0.500
0.000 0.000 0.665
0.500 0.500 0.165
0.000 0.000 0.338
0.500 0.500 0.838

=====

YNiRh | Alexandria via LeMat-Bulk | GGA-PBEsol | optimized geometry; crystal system = hexagonal
1.0
4.067 0.000 0.000
-2.034 3.522 0.000
0.000 0.000 3.696
Y Ni Rh
1 1 1
Direct
0.000 0.000 0.000
0.333 0.667 0.500
0.667 0.333 0.500

=====

Y2NiRh | Alexandria via LeMat-Bulk | GGA-PBEsol | optimized geometry; crystal system = tetragonal
1.0
4.717 0.000 0.000
0.000 4.717 0.000
0.000 0.000 3.408
Y Ni Rh
2 1 1
Direct
0.000 0.500 0.000
0.500 0.000 0.000
0.000 0.000 0.500
0.500 0.500 0.500

=====

no.,total DFT energy (no corrections) (Ha/atom),total magnetization (μB/atom),energy of formation (eV per atom)
1,-0.3506,0.00,-0.17
2,-0.2769,0.00,-0.49
3,-0.2779,0.00,-0.58